Entry 1:
# Mg2Ti6HN PBE optimized geometry
data_Mg2Ti6HN
_symmetry_space_group_name_H-M 'P 1'
_symmetry_Int_Tables_number 1
_symmetry_space_group_name_Hall 'P 1'
_cell_length_a 5.9275
_cell_length_b 5.9276
_cell_length_c 5.9267
_cell_angle_alpha 59.98
_cell_angle_beta 59.98
_cell_angle_gamma 90.03
loop_
_atom_site_label
_atom_site_type_symbol
_atom_site_fract_x
_atom_site_fract_y
_atom_site_fract_z
Ti1 Ti 0.7485 0.7484 0.9985
Ti2 Ti 0.2519 0.2519 0.4948
Ti3 Ti 0.2522 0.7478 0.0000
Ti4 Ti 0.7481 0.7481 0.5052
Ti5 Ti 0.2515 0.2516 0.0015
N1 N 0.0000 0.0000 0.0000
Mg1 Mg 0.2505 0.7495 0.5000
Mg2 Mg 0.7495 0.2505 0.5000
Ti6 Ti 0.7478 0.2522 0.0000
H1 H 0.5000 0.5000 0.0000
# Electronic total energy = -6.570 eV per atom



Entry 2:
# MgV2HN PBE optimized geometry
data_MgV2HN
_symmetry_space_group_name_H-M 'P 1'
_symmetry_Int_Tables_number 1
_symmetry_space_group_name_Hall 'P 1'
_cell_length_a 3.4508
_cell_length_b 4.6292
_cell_length_c 3.4508
_cell_angle_alpha 90.00
_cell_angle_beta 90.00
_cell_angle_gamma 90.00
loop_
_atom_site_label
_atom_site_type_symbol
_atom_site_fract_x
_atom_site_fract_y
_atom_site_fract_z
N1 N 0.5000 0.5000 0.5000
V1 V 0.5000 0.0000 0.0000
H1 H 0.0000 0.0000 0.0000
Mg1 Mg 0.0000 0.5000 0.0000
V2 V 0.0000 0.0000 0.5000
# Electronic total energy = -5.725 eV per atom



Entry 3:
# MgZrH2N PBE optimized geometry
data_MgZrH2N
_symmetry_space_group_name_H-M 'P 1'
_symmetry_Int_Tables_number 1
_symmetry_space_group_name_Hall 'P 1'
_cell_length_a 3.7655
_cell_length_b 4.2792
_cell_length_c 3.7655
_cell_angle_alpha 90.00
_cell_angle_beta 90.00
_cell_angle_gamma 90.00
loop_
_atom_site_label
_atom_site_type_symbol
_atom_site_fract_x
_atom_site_fract_y
_atom_site_fract_z
Mg1 Mg 0.5000 0.5000 0.5000
H1 H 0.5000 0.0000 0.0000
Zr1 Zr 0.0000 0.0000 0.0000
N1 N 0.0000 0.5000 0.0000
H2 H 0.0000 0.0000 0.5000
# Electronic total energy = -5.352 eV per atom



Entry 4:
# Mg2Zr6HN PBE optimized geometry
data_Mg2Zr6HN
_symmetry_space_group_name_H-M 'P 1'
_symmetry_Int_Tables_number 1
_symmetry_space_group_name_Hall 'P 1'
_cell_length_a 6.4023
_cell_length_b 6.4023
_cell_length_c 6.3974
_cell_angle_alpha 60.02
_cell_angle_beta 60.02
_cell_angle_gamma 90.10
loop_
_atom_site_label
_atom_site_type_symbol
_atom_site_fract_x
_atom_site_fract_y
_atom_site_fract_z
Zr1 Zr 0.7491 0.7491 0.5028
H1 H 0.5000 0.5000 0.0000
Mg1 Mg 0.7500 0.2500 0.5000
Zr2 Zr 0.2509 0.2509 0.4972
Zr3 Zr 0.7491 0.2509 0.0000
Zr4 Zr 0.7489 0.7489 0.9996
N1 N 0.0000 0.0000 0.0000
Zr5 Zr 0.2509 0.7491 0.0000
Zr6 Zr 0.2511 0.2511 0.0004
Mg2 Mg 0.2500 0.7500 0.5000
# Electronic total energy = -7.015 eV per atom



Entry 5:
# NaMgH2 PBE optimized geometry
data_NaMgH2
_symmetry_space_group_name_H-M 'P 1'
_symmetry_Int_Tables_number 1
_symmetry_space_group_name_Hall 'P 1'
_cell_length_a 3.8699
_cell_length_b 5.4904
_cell_length_c 10.5494
_cell_angle_alpha 90.00
_cell_angle_beta 90.00
_cell_angle_gamma 90.00
loop_
_atom_site_label
_atom_site_type_symbol
_atom_site_fract_x
_atom_site_fract_y
_atom_site_fract_z
Mg1 Mg 0.7500 0.9627 0.6117
H1 H 0.2500 0.2700 0.2414
Mg2 Mg 0.7500 0.4627 0.8883
H2 H 0.2500 0.0009 0.5884
H3 H 0.7500 0.2300 0.7414
Mg3 Mg 0.2500 0.5373 0.1117
H4 H 0.2500 0.7700 0.2586
H5 H 0.7500 0.4991 0.0884
Na1 Na 0.2500 0.4640 0.6352
Na2 Na 0.2500 0.9640 0.8648
H6 H 0.2500 0.5009 0.9116
Mg4 Mg 0.2500 0.0373 0.3883
H7 H 0.7500 0.9991 0.4116
Na3 Na 0.7500 0.5360 0.3648
H8 H 0.7500 0.7300 0.7586
Na4 Na 0.7500 0.0360 0.1352
# Energy above the lowest structure with this stoichiometry = 0.000 kcal/mol of atoms



Entry 6:
# Na2MgH4 PBE optimized geometry
data_Na2MgH4
_symmetry_space_group_name_H-M 'P 1'
_symmetry_Int_Tables_number 1
_symmetry_space_group_name_Hall 'P 1'
_cell_length_a 3.7798
_cell_length_b 3.7798
_cell_length_c 6.5694
_cell_angle_alpha 73.28
_cell_angle_beta 73.28
_cell_angle_gamma 90.00
loop_
_atom_site_label
_atom_site_type_symbol
_atom_site_fract_x
_atom_site_fract_y
_atom_site_fract_z
H1 H 0.5000 0.0000 0.0000
H2 H 0.8350 0.8350 0.3300
Na1 Na 0.3507 0.3507 0.2987
H3 H 0.1650 0.1650 0.6700
Mg1 Mg 0.0000 0.0000 0.0000
Na2 Na 0.6493 0.6493 0.7013
H4 H 0.0000 0.5000 0.0000
# Energy above the lowest structure with this stoichiometry = 0.161 kcal/mol of atoms



Entry 7:
# NaMg2H2 PBE optimized geometry
data_NaMg2H2
_symmetry_space_group_name_H-M 'P 1'
_symmetry_Int_Tables_number 1
_symmetry_space_group_name_Hall 'P 1'
_cell_length_a 4.2440
_cell_length_b 4.2440
_cell_length_c 6.1761
_cell_angle_alpha 69.90
_cell_angle_beta 69.90
_cell_angle_gamma 90.00
loop_
_atom_site_label
_atom_site_type_symbol
_atom_site_fract_x
_atom_site_fract_y
_atom_site_fract_z
Mg1 Mg 0.2500 0.7500 0.5000
Mg2 Mg 0.7500 0.2500 0.5000
H1 H 0.2236 0.2236 0.5527
Na1 Na 0.0000 0.0000 0.0000
H2 H 0.7764 0.7764 0.4473
# Energy above the lowest structure with this stoichiometry = 1.936 kcal/mol of atoms



Entry 8:
# Na2MgH5 PBE optimized geometry
data_Na2MgH5
_symmetry_space_group_name_H-M 'P 1'
_symmetry_Int_Tables_number 1
_symmetry_space_group_name_Hall 'P 1'
_cell_length_a 3.6563
_cell_length_b 6.1113
_cell_length_c 10.3802
_cell_angle_alpha 90.00
_cell_angle_beta 90.00
_cell_angle_gamma 107.41
loop_
_atom_site_label
_atom_site_type_symbol
_atom_site_fract_x
_atom_site_fract_y
_atom_site_fract_z
Na1 Na 0.8652 0.7304 0.4303
H1 H 0.7372 0.4744 0.6020
H2 H 0.2628 0.5256 0.3980
Na2 Na 0.1348 0.2696 0.9303
H3 H 0.7372 0.4744 0.8980
Mg1 Mg 0.8423 0.6845 0.7500
H4 H 0.2628 0.5256 0.1020
H5 H 0.0425 0.0850 0.3776
H6 H 0.0425 0.0850 0.1224
Mg2 Mg 0.1577 0.3155 0.2500
H7 H 0.2709 0.5418 0.7500
H8 H 0.7291 0.4582 0.2500
H9 H 0.9575 0.9150 0.6224
H10 H 0.9575 0.9150 0.8776
Na3 Na 0.1348 0.2696 0.5697
Na4 Na 0.8652 0.7304 0.0697
# Electronic total energy = -2.526 eV per atom



Entry 9:
# Na2Mg2H7 PBE optimized geometry
data_Na2Mg2H7
_symmetry_space_group_name_H-M 'P 1'
_symmetry_Int_Tables_number 1
_symmetry_space_group_name_Hall 'P 1'
_cell_length_a 5.0809
_cell_length_b 4.8855
_cell_length_c 4.8855
_cell_angle_alpha 79.86
_cell_angle_beta 90.00
_cell_angle_gamma 90.00
loop_
_atom_site_label
_atom_site_type_symbol
_atom_site_fract_x
_atom_site_fract_y
_atom_site_fract_z
H1 H 0.8307 0.5000 0.5000
H2 H 0.0000 0.0000 0.0000
Na1 Na 0.5000 0.7488 0.2512
H3 H 0.7575 0.0000 0.5000
Mg1 Mg 0.0000 0.2544 0.2544
H4 H 0.2425 0.0000 0.5000
Na2 Na 0.5000 0.2512 0.7488
H5 H 0.1693 0.5000 0.5000
H6 H 0.2425 0.5000 0.0000
H7 H 0.7575 0.5000 0.0000
Mg2 Mg 0.0000 0.7456 0.7456
# Electronic total energy = -2.655 eV per atom



Entry 10:
# NaMgH2 PBE optimized geometry
data_NaMgH2
_symmetry_space_group_name_H-M 'P 1'
_symmetry_Int_Tables_number 1
_symmetry_space_group_name_Hall 'P 1'
_cell_length_a 3.1335
_cell_length_b 3.1335
_cell_length_c 8.4255
_cell_angle_alpha 79.28
_cell_angle_beta 79.28
_cell_angle_gamma 60.00
loop_
_atom_site_label
_atom_site_type_symbol
_atom_site_fract_x
_atom_site_fract_y
_atom_site_fract_z
H1 H 0.2978 0.2978 0.1066
Na1 Na 0.4980 0.4980 0.5061
H2 H 0.0369 0.0369 0.8892
Mg1 Mg 0.6673 0.6673 0.9981
# Energy above the lowest structure with this stoichiometry = 0.736 kcal/mol of atoms



Entry 11:
# Na2MgH3 PBE optimized geometry
data_Na2MgH3
_symmetry_space_group_name_H-M 'P 1'
_symmetry_Int_Tables_number 1
_symmetry_space_group_name_Hall 'P 1'
_cell_length_a 5.6031
_cell_length_b 6.4581
_cell_length_c 5.6588
_cell_angle_alpha 106.51
_cell_angle_beta 119.68
_cell_angle_gamma 90.00
loop_
_atom_site_label
_atom_site_type_symbol
_atom_site_fract_x
_atom_site_fract_y
_atom_site_fract_z
Na1 Na 0.3486 0.9209 0.6779
Mg1 Mg 0.0015 0.2500 0.0000
Na2 Na 0.3293 0.4209 0.6779
H1 H 0.3433 0.2500 0.0000
H2 H 0.8524 0.4286 0.7126
Mg2 Mg 0.9985 0.7500 0.0000
Na3 Na 0.6707 0.5791 0.3221
H3 H 0.1476 0.5714 0.2874
H4 H 0.1398 0.0714 0.2874
Na4 Na 0.6514 0.0791 0.3221
H5 H 0.8602 0.9286 0.7126
H6 H 0.6567 0.7500 0.0000
# Electronic total energy = -2.426 eV per atom



Entry 12:
# Na3MgH4 PBE optimized geometry
data_Na3MgH4
_symmetry_space_group_name_H-M 'P 1'
_symmetry_Int_Tables_number 1
_symmetry_space_group_name_Hall 'P 1'
_cell_length_a 5.7259
_cell_length_b 5.7259
_cell_length_c 5.7259
_cell_angle_alpha 93.19
_cell_angle_beta 117.77
_cell_angle_gamma 118.59
loop_
_atom_site_label
_atom_site_type_symbol
_atom_site_fract_x
_atom_site_fract_y
_atom_site_fract_z
Na1 Na 0.5251 0.2217 0.7468
Na2 Na 0.0626 0.0000 0.0626
H1 H 0.5856 0.2467 0.3388
Mg1 Mg 0.0259 0.5000 0.5259
H2 H 0.1673 0.7079 0.8753
H3 H 0.1673 0.2921 0.4594
H4 H 0.0921 0.7533 0.3388
Na3 Na 0.5251 0.7783 0.3034
# Electronic total energy = -2.417 eV per atom



Entry 13:
# NaMgH2 PBE optimized geometry
data_NaMgH2
_symmetry_space_group_name_H-M 'P 1'
_symmetry_Int_Tables_number 1
_symmetry_space_group_name_Hall 'P 1'
_cell_length_a 3.1447
_cell_length_b 3.1447
_cell_length_c 8.0142
_cell_angle_alpha 78.69
_cell_angle_beta 78.69
_cell_angle_gamma 60.00
loop_
_atom_site_label
_atom_site_type_symbol
_atom_site_fract_x
_atom_site_fract_y
_atom_site_fract_z
Mg1 Mg 0.5000 0.5000 0.5000
Na1 Na 0.0000 0.0000 0.0000
H1 H 0.1289 0.1289 0.6134
H2 H 0.8711 0.8711 0.3866
# Energy above the lowest structure with this stoichiometry = 0.592 kcal/mol of atoms



Entry 14:
# NaMgH2 PBE optimized geometry
data_NaMgH2
_symmetry_space_group_name_H-M 'P 1'
_symmetry_Int_Tables_number 1
_symmetry_space_group_name_Hall 'P 1'
_cell_length_a 4.9563
_cell_length_b 4.9563
_cell_length_c 6.1214
_cell_angle_alpha 66.12
_cell_angle_beta 66.12
_cell_angle_gamma 90.00
loop_
_atom_site_label
_atom_site_type_symbol
_atom_site_fract_x
_atom_site_fract_y
_atom_site_fract_z
Mg1 Mg 0.0000 0.0000 0.0000
H1 H 0.0372 0.6250 0.2500
H2 H 0.8750 0.9628 0.7500
Na1 Na 0.2500 0.7500 0.5000
H3 H 0.3750 0.2872 0.7500
Na2 Na 0.5000 0.5000 0.0000
H4 H 0.7128 0.1250 0.2500
Mg2 Mg 0.7500 0.2500 0.5000
# Energy above the lowest structure with this stoichiometry = 1.980 kcal/mol of atoms



Entry 15:
# NaMg2H6 PBE optimized geometry
data_NaMg2H6
_symmetry_space_group_name_H-M 'P 1'
_symmetry_Int_Tables_number 1
_symmetry_space_group_name_Hall 'P 1'
_cell_length_a 3.0992
_cell_length_b 5.4272
_cell_length_c 5.4272
_cell_angle_alpha 120.00
_cell_angle_beta 90.00
_cell_angle_gamma 90.00
loop_
_atom_site_label
_atom_site_type_symbol
_atom_site_fract_x
_atom_site_fract_y
_atom_site_fract_z
Mg1 Mg 0.7527 0.3333 0.6667
H1 H 0.7589 0.3952 0.3245
H2 H 0.2411 0.0707 0.3952
Na1 Na 0.5000 0.0000 0.0000
Mg2 Mg 0.2473 0.6667 0.3333
H3 H 0.7589 0.9293 0.6048
H4 H 0.7589 0.6755 0.0707
H5 H 0.2411 0.3245 0.9293
H6 H 0.2411 0.6048 0.6755
# Energy above the lowest structure with this stoichiometry = 0.000 kcal/mol of atoms



Entry 16:
# NaMg2H6 PBE optimized geometry
data_NaMg2H6
_symmetry_space_group_name_H-M 'P 1'
_symmetry_Int_Tables_number 1
_symmetry_space_group_name_Hall 'P 1'
_cell_length_a 4.8310
_cell_length_b 4.8310
_cell_length_c 4.8310
_cell_angle_alpha 60.00
_cell_angle_beta 60.00
_cell_angle_gamma 60.00
loop_
_atom_site_label
_atom_site_type_symbol
_atom_site_fract_x
_atom_site_fract_y
_atom_site_fract_z
H1 H 0.2862 0.7138 0.2862
Mg1 Mg 0.7500 0.7500 0.7500
Na1 Na 0.0000 0.0000 0.0000
H2 H 0.7138 0.2862 0.2862
H3 H 0.7138 0.2862 0.7138
H4 H 0.7138 0.7138 0.2862
H5 H 0.2862 0.7138 0.7138
Mg2 Mg 0.2500 0.2500 0.2500
H6 H 0.2862 0.2862 0.7138
# Energy above the lowest structure with this stoichiometry = 9.343 kcal/mol of atoms



Entry 17:
# Na2MgH4 PBE optimized geometry
data_Na2MgH4
_symmetry_space_group_name_H-M 'P 1'
_symmetry_Int_Tables_number 1
_symmetry_space_group_name_Hall 'P 1'
_cell_length_a 5.7636
_cell_length_b 5.8403
_cell_length_c 6.4347
_cell_angle_alpha 90.00
_cell_angle_beta 109.86
_cell_angle_gamma 90.00
loop_
_atom_site_label
_atom_site_type_symbol
_atom_site_fract_x
_atom_site_fract_y
_atom_site_fract_z
H1 H 0.5478 0.4817 0.7530
Na1 Na 0.2278 0.2500 0.4483
H2 H 0.5478 0.0183 0.7530
H3 H 0.4522 0.9817 0.2470
Na2 Na 0.6586 0.7500 0.0198
Mg1 Mg 0.7842 0.2500 0.8121
Na3 Na 0.7722 0.7500 0.5517
H4 H 0.0224 0.7500 0.8971
H5 H 0.9776 0.2500 0.1029
H6 H 0.0064 0.7500 0.3446
Na4 Na 0.3414 0.2500 0.9802
H7 H 0.9936 0.2500 0.6554
H8 H 0.4522 0.5183 0.2470
Mg2 Mg 0.2158 0.7500 0.1879
# Energy above the lowest structure with this stoichiometry = 1.679 kcal/mol of atoms



Entry 18:
# NaMgH2 PBE optimized geometry
data_NaMgH2
_symmetry_space_group_name_H-M 'P 1'
_symmetry_Int_Tables_number 1
_symmetry_space_group_name_Hall 'P 1'
_cell_length_a 4.1629
_cell_length_b 4.1629
_cell_length_c 4.1629
_cell_angle_alpha 60.00
_cell_angle_beta 60.00
_cell_angle_gamma 60.00
loop_
_atom_site_label
_atom_site_type_symbol
_atom_site_fract_x
_atom_site_fract_y
_atom_site_fract_z
H1 H 0.2500 0.2500 0.2500
Na1 Na 0.0000 0.0000 0.0000
Mg1 Mg 0.5000 0.5000 0.5000
H2 H 0.7500 0.7500 0.7500
# Energy above the lowest structure with this stoichiometry = 6.416 kcal/mol of atoms



Entry 19:
# Na3MgH PBE optimized geometry
data_Na3MgH
_symmetry_space_group_name_H-M 'P 1'
_symmetry_Int_Tables_number 1
_symmetry_space_group_name_Hall 'P 1'
_cell_length_a 4.9504
_cell_length_b 4.9504
_cell_length_c 4.9504
_cell_angle_alpha 90.00
_cell_angle_beta 90.00
_cell_angle_gamma 90.00
loop_
_atom_site_label
_atom_site_type_symbol
_atom_site_fract_x
_atom_site_fract_y
_atom_site_fract_z
Mg1 Mg 0.5000 0.5000 0.5000
Na1 Na 0.0000 0.5000 0.0000
Na2 Na 0.0000 0.0000 0.5000
H1 H 0.0000 0.0000 0.0000
Na3 Na 0.5000 0.0000 0.0000
# Electronic total energy = -1.696 eV per atom



Entry 20:
# NaMgH4 PBE optimized geometry
data_NaMgH4
_symmetry_space_group_name_H-M 'P 1'
_symmetry_Int_Tables_number 1
_symmetry_space_group_name_Hall 'P 1'
_cell_length_a 3.4039
_cell_length_b 3.4039
_cell_length_c 5.1672
_cell_angle_alpha 90.00
_cell_angle_beta 90.00
_cell_angle_gamma 90.00
loop_
_atom_site_label
_atom_site_type_symbol
_atom_site_fract_x
_atom_site_fract_y
_atom_site_fract_z
H1 H 0.5000 0.0000 0.7079
H2 H 0.0000 0.5000 0.2921
Mg1 Mg 0.5000 0.5000 0.5000
H3 H 0.0000 0.5000 0.7079
H4 H 0.5000 0.0000 0.2921
Na1 Na 0.0000 0.0000 0.0000
# Electronic total energy = -2.608 eV per atom